VASP calculation (PBE) on an optimized crystal structure of Ac2CeIn3.

Properties
ΔH_f (0 K)   -0.361 eV/atom
Raw total energy   -4.089 eV per atom
Energy above the lowest structure with this stoichiometry   15 meV per atom

```
data_Ac2CeIn3
_symmetry_space_group_name_H-M 'C m m m'
_symmetry_Int_Tables_number 65
_symmetry_space_group_name_Hall '-C 2 2'
_cell_length_a 5.380
_cell_length_b 16.161
_cell_length_c 8.961
_cell_angle_alpha 90.00
_cell_angle_beta 90.00
_cell_angle_gamma 90.00
loop_
_atom_site_label
_atom_site_fract_x
_atom_site_fract_y
_atom_site_fract_z
Ac1 0.000 0.000 0.000
Ac2 0.000 0.000 0.500
Ac3 0.000 0.335 0.000
Ce1 0.000 0.331 0.500
In1 0.000 0.171 0.260
In2 0.000 0.500 0.258
```

***

VASP calculation (PBE) on an optimized crystal structure of Ca3Dy3Si4.

Properties
Formation energy from raw total energies   -5.8 eV per formula unit
Raw total energy   -4.731 eV per atom

```
data_Ca3Dy3Si4
_symmetry_space_group_name_H-M 'A m m 2'
_symmetry_Int_Tables_number 38
_cell_length_a 4.250
_cell_length_b 10.644
_cell_length_c 10.821
_cell_angle_alpha 90.00
_cell_angle_beta 90.00
_cell_angle_gamma 90.00
loop_
_symmetry_equiv_pos_as_xyz
'x,y,z'
'-x,-y,z'
'-x,y,z'
'x,-y,z'
'x,y+1/2,z+1/2'
'-x,-y+1/2,z+1/2'
'-x,y+1/2,z+1/2'
'x,-y+1/2,z+1/2'
loop_
_atom_site_label
_atom_site_fract_x
_atom_site_fract_y
_atom_site_fract_z
Ca1 0.000 0.000 0.000
Ca2 0.500 0.247 0.073
Dy1 0.000 0.000 0.646
Dy2 0.000 0.177 0.325
Si1 0.500 0.000 0.219
Si2 0.500 0.000 0.441
Si3 0.500 0.114 0.817
```

***

VASP calculation (PBE) on an optimized crystal structure of Tb2ErTm3Bi6.

Properties
ΔH_f (0 K)   -0.819 eV/atom
Raw total energy   -5.030 eV per atom

```
data_Tb2ErTm3Bi6
_symmetry_space_group_name_H-M 'C 1 2/m 1'
_symmetry_Int_Tables_number 12
_cell_length_a 19.400
_cell_length_b 4.451
_cell_length_c 8.905
_cell_angle_alpha 90.00
_cell_angle_beta 103.19
_cell_angle_gamma 90.00
loop_
_symmetry_equiv_pos_as_xyz
'x,y,z'
'-x,-y,-z'
'-x,y,-z'
'x,-y,z'
'x+1/2,y+1/2,z'
'-x+1/2,-y+1/2,-z'
'-x+1/2,y+1/2,-z'
'x+1/2,-y+1/2,z'
loop_
_atom_site_label
_atom_site_fract_x
_atom_site_fract_y
_atom_site_fract_z
Tb1 0.167 0.000 0.333
Er1 0.000 0.500 0.000
Tm1 0.000 0.500 0.500
Tm2 0.167 0.000 0.833
Bi1 0.001 0.000 0.750
Bi2 0.166 0.500 0.586
Bi3 0.167 0.500 0.080
```

***

What did the third record say?
VASP calculation (PBE) on an optimized crystal structure of Tb2ErTm3Bi6.

Properties
ΔH_f (0 K)   -0.819 eV/atom
Raw total energy   -5.030 eV per atom

```
data_Tb2ErTm3Bi6
_symmetry_space_group_name_H-M 'C 1 2/m 1'
_symmetry_Int_Tables_number 12
_cell_length_a 19.400
_cell_length_b 4.451
_cell_length_c 8.905
_cell_angle_alpha 90.00
_cell_angle_beta 103.19
_cell_angle_gamma 90.00
loop_
_symmetry_equiv_pos_as_xyz
'x,y,z'
'-x,-y,-z'
'-x,y,-z'
'x,-y,z'
'x+1/2,y+1/2,z'
'-x+1/2,-y+1/2,-z'
'-x+1/2,y+1/2,-z'
'x+1/2,-y+1/2,z'
loop_
_atom_site_label
_atom_site_fract_x
_atom_site_fract_y
_atom_site_fract_z
Tb1 0.167 0.000 0.333
Er1 0.000 0.500 0.000
Tm1 0.000 0.500 0.500
Tm2 0.167 0.000 0.833
Bi1 0.001 0.000 0.750
Bi2 0.166 0.500 0.586
Bi3 0.167 0.500 0.080
```